No. 1
Here is SnBiPd2 after structural relaxation from Alexandria via LeMat-Bulk. Energies are from PBE.

extended XYZ file:
```
4
Lattice="2.1859 1.2620 5.4178 -2.1859 1.2620 5.4178 0.0000 -2.5241 5.4178" Properties=species:S:1:pos:R:3 pbc="T T T"
Sn 0.0000 0.0000 0.0000
Bi 0.0000 0.0000 13.2028
Pd 0.0000 0.0000 6.4085
Pd 0.0000 0.0000 9.6418
```

## Properties
For the final energy, the calculation gives -19.2 eV per cell. The total magnetic moment is 0.0 μB/f.u. The energy of formation from the pure elements comes out at -0.245 eV per atom. Its space group is R3m, No. 160. The density of states at the Fermi level is 1.704 states/eV/f.u.


No. 2
Here is Sn4BiPd15 after structural relaxation from Alexandria via LeMat-Bulk. Energies are from PBE.

extended XYZ file:
```
20
Lattice="4.0591 0.0000 0.0000 0.0000 4.0591 0.0000 0.0000 0.0000 20.3066" Properties=species:S:1:pos:R:3 pbc="T T T"
Sn 0.0000 0.0000 2.0039
Sn 0.0000 0.0000 6.0064
Sn 0.0000 0.0000 14.3002
Sn 0.0000 0.0000 18.3027
Bi 0.0000 0.0000 10.1533
Pd 0.0000 2.0295 0.0000
Pd 0.0000 2.0295 4.0256
Pd 0.0000 2.0295 8.0267
Pd 0.0000 2.0295 12.2799
Pd 0.0000 2.0295 16.2810
Pd 2.0295 0.0000 0.0000
Pd 2.0295 0.0000 4.0256
Pd 2.0295 0.0000 8.0267
Pd 2.0295 0.0000 12.2799
Pd 2.0295 0.0000 16.2810
Pd 2.0295 2.0295 2.0156
Pd 2.0295 2.0295 6.0453
Pd 2.0295 2.0295 10.1533
Pd 2.0295 2.0295 14.2613
Pd 2.0295 2.0295 18.2910
```

## Properties
For the final energy, the calculation gives -107.0 eV per cell. The total magnetic moment is 0.0 μB/f.u. The energy of formation from the pure elements comes out at -0.459 eV per atom. Its space group is P4/mmm, No. 123. The density of states at the Fermi level is 1.580 states/eV/f.u.


No. 3
Here is Sn3Bi2Pd8 after structural relaxation from Alexandria via LeMat-Bulk. Energies are from PBE.

extended XYZ file:
```
13
Lattice="5.9076 -3.8851 0.0000 5.9076 3.8851 0.0000 -0.5736 0.0000 5.5823" Properties=species:S:1:pos:R:3 pbc="T T T"
Sn 0.0000 0.0000 0.0000
Sn 5.6208 2.1831 2.7912
Sn 5.6208 -2.1831 2.7912
Bi 4.2637 0.0000 0.1033
Bi 6.9779 0.0000 5.4790
Pd 3.2746 2.4320 4.2483
Pd 1.4783 0.0000 3.9322
Pd 4.0960 0.0000 2.8705
Pd 7.9670 2.4320 1.3340
Pd 3.2746 -2.4320 4.2483
Pd 7.1457 0.0000 2.7118
Pd 9.7633 0.0000 1.6501
Pd 7.9670 -2.4320 1.3340
```

## Properties
For the final energy, the calculation gives -65.6 eV per cell. The total magnetic moment is 0.0 μB/f.u. The energy of formation from the pure elements comes out at -0.326 eV per atom. Its space group is C2/m, No. 12. The density of states at the Fermi level is 6.360 states/eV/f.u.


No. 4
Here is Sn3BiPd after structural relaxation from Alexandria via LeMat-Bulk. Energies are from PBE.

extended XYZ file:
```
5
Lattice="5.8461 0.0000 0.0000 0.0000 5.8461 0.0000 0.0000 0.0000 5.8461" Properties=species:S:1:pos:R:3 pbc="T T T"
Sn 0.0000 0.0000 2.9230
Sn 0.0000 2.9230 0.0000
Sn 2.9230 0.0000 0.0000
Bi 0.0000 0.0000 0.0000
Pd 2.9230 2.9230 2.9230
```

## Properties
For the final energy, the calculation gives -15.8 eV per cell. The calculation puts the relative energy among the computed polymorphs at 5.27 eV per formula unit. The total magnetic moment is 0.0 μB/f.u. The energy of formation from the pure elements comes out at 1.065 eV per atom. Its space group is Pm-3m, No. 221. The density of states at the Fermi level is 3.410 states/eV/f.u.


No. 5
Here is SnBiPd6 after structural relaxation from Alexandria via LeMat-Bulk. Energies are from PBE.

extended XYZ file:
```
8
Lattice="4.0979 0.0000 0.0000 0.0000 4.0979 0.0000 0.0000 0.0000 8.1418" Properties=species:S:1:pos:R:3 pbc="T T T"
Sn 0.0000 0.0000 0.0000
Bi 0.0000 0.0000 4.0709
Pd 0.0000 2.0490 1.9626
Pd 0.0000 2.0490 6.1793
Pd 2.0490 0.0000 1.9626
Pd 2.0490 0.0000 6.1793
Pd 2.0490 2.0490 0.0000
Pd 2.0490 2.0490 4.0709
```

## Properties
For the final energy, the calculation gives -42.0 eV per cell. The calculation puts the relative energy among the computed polymorphs at 0.00 eV per formula unit. The total magnetic moment is 0.0 μB/f.u. The energy of formation from the pure elements comes out at -0.373 eV per atom. Its space group is P4/mmm, No. 123. The density of states at the Fermi level is 2.718 states/eV/f.u.


No. 6
Here is Sn2Bi3Pd7 after structural relaxation from Alexandria via LeMat-Bulk. Energies are from PBE.

extended XYZ file:
```
12
Lattice="4.2084 0.0000 0.0000 0.0000 3.9010 0.0000 -2.0433 0.0000 15.2659" Properties=species:S:1:pos:R:3 pbc="T T T"
Sn 0.0093 0.0000 3.9945
Sn 2.1558 0.0000 11.2714
Bi 0.0000 0.0000 0.0000
Bi 0.0330 1.9505 9.0898
Bi 2.1321 1.9505 6.1761
Pd 0.0102 1.9505 2.1355
Pd 0.0291 0.0000 6.6909
Pd 0.0519 0.0000 12.9981
Pd 2.1042 1.9505 0.0000
Pd 2.1132 0.0000 2.2677
Pd 2.1360 0.0000 8.5750
Pd 2.1549 1.9505 13.1304
```

## Properties
For the final energy, the calculation gives -59.1 eV per cell. The total magnetic moment is 0.0 μB/f.u. The energy of formation from the pure elements comes out at -0.258 eV per atom. Its space group is P2/m, No. 10. The density of states at the Fermi level is 5.765 states/eV/f.u.